# Hf3BiRh PBEsol relaxed
data_Hf3BiRh
_chemical_formula_sum 'Hf3 Bi1 Rh1'
_space_group_name_H-M_alt 'P 1'
_space_group_IT_number 1
_cell_length_a 4.941
_cell_length_b 4.941
_cell_length_c 4.941
_cell_angle_alpha 90.00
_cell_angle_beta 90.00
_cell_angle_gamma 90.00
loop_
_space_group_symop_operation_xyz
'x,y,z'
loop_
_atom_site_label
_atom_site_fract_x
_atom_site_fract_y
_atom_site_fract_z
Hf1 0.500 0.000 0.000
Hf2 0.000 0.500 0.000
Hf3 0.000 0.000 0.500
Rh1 0.000 0.000 0.000
Bi1 0.500 0.500 0.500
# formation energy from the elements	2	kJ/mol of atoms
# DOS(E_F)	1.82	states/eV/cell
# total magnetization	0.000	μB/f.u.